First-principles (PBE) data for crystalline NiAg2Sb at its relaxed geometry, as listed in the Alexandria database.

Lattice parameters (Å, degrees): 7.746 7.746 6.055 50.23 50.23 90.00
Fractional positions:
Sb (0.000, 0.000, 0.000)
Sb (0.750, 0.250, 0.500)
Ag (0.875, 0.835, 0.750)
Ag (0.375, 0.415, 0.750)
Ag (0.165, 0.625, 0.250)
Ag (0.585, 0.125, 0.250)
Ni (0.500, 0.500, 0.000)
Ni (0.250, 0.750, 0.500)

Crystal system ... tetragonal
Size of the total moment ... 0.00 μB per formula unit
Final energy ... -3.613 eV per atom
Space group ... I-42d (122)